(1)
A plane-wave DFT calculation with PBE-GGA was carried out for a relaxed Hf2Ni4Ge crystal.

space-group type = I4/mmm
energy of formation from the pure elements = 0.227 eV/atom

Cell lengths 4.2350, 4.2350, 7.2309 Å; angles 72.97, 72.97, 90.00 degrees
Atoms (fractional coordinates):
Ni 0.8266 0.8266 0.3468
Ni 0.0000 0.5000 0.0000
Ni 0.1734 0.1734 0.6532
Ni 0.5000 0.0000 0.0000
Hf 0.6420 0.6420 0.7161
Hf 0.3580 0.3580 0.2839
Ge 0.0000 0.0000 0.0000



(2)
A plane-wave DFT calculation with PBE-GGA was carried out for a relaxed HoScGe crystal.

space-group type = R-3m
offset from the most stable computed form = 167 meV/atom
energy of formation from the pure elements = -0.538 eV/atom

Cell lengths 4.7137, 4.7137, 8.1842 Å; angles 73.26, 73.26, 60.00 degrees
Atoms (fractional coordinates):
Ho 0.1231 0.1231 0.6306
Ho 0.8769 0.8769 0.3694
Sc 0.6270 0.6270 0.1191
Sc 0.3730 0.3730 0.8809
Ge 0.2536 0.2536 0.2392
Ge 0.7464 0.7464 0.7608



Quick rundown of total magnetization, same order as above: 0.00 0.00 μB/f.u.